No. 1
NbS2IF6 GGA-PBE relaxed; total moment = 0.0 μB per formula unit; raw total energy = -4.242 eV per atom; SG = C2/m
1.0
7.489 -2.748 0.000
7.489 2.748 0.000
-0.381 0.000 4.321
F I Nb S
6 1 1 2
Cartesian
13.656 0.000 2.649
10.160 -1.566 3.112
10.160 1.566 3.112
0.942 0.000 1.672
4.438 1.566 1.209
4.438 -1.566 1.209
7.299 0.000 2.160
0.000 0.000 0.000
2.106 0.000 4.070
12.492 0.000 0.251

***

No. 2
BeCdSb GGA-PBE relaxed; raw total energy = -2.359 eV per atom; SG = F-43m
1.0
0.000 3.294 3.294
3.294 0.000 3.294
3.294 3.294 0.000
Sb Be Cd
1 1 1
Cartesian
0.000 0.000 0.000
1.647 1.647 1.647
4.941 4.941 4.941

***

No. 3
TbHoTh GGA-PBE relaxed; energy relative to the elements = 801.0 meV/atom; total moment = 0.0 μB per formula unit; SG = F-43m
1.0
0.000 3.824 3.824
3.824 0.000 3.824
3.824 3.824 0.000
Th Ho Tb
1 1 1
Cartesian
5.736 5.736 5.736
0.000 0.000 0.000
1.912 1.912 1.912

***

No. 4
PaMoPb GGA-PBE relaxed; total moment = 0.0 μB per formula unit; raw total energy = -7.515 eV per atom; SG = F-43m
1.0
0.000 3.366 3.366
3.366 0.000 3.366
3.366 3.366 0.000
Pa Pb Mo
1 1 1
Cartesian
1.683 1.683 1.683
5.049 5.049 5.049
0.000 0.000 0.000

***

No. 5
La2CdIn GGA-PBE relaxed; total moment = 0.0 μB per formula unit; raw total energy = -3.516 eV per atom; SG = P6_3/mmc
1.0
2.664 -4.614 0.000
2.664 4.614 0.000
0.000 0.000 10.451
In Cd La
2 2 4
Cartesian
2.664 1.538 2.613
2.664 -1.538 7.838
0.000 0.000 0.000
0.000 0.000 5.226
2.664 1.538 6.350
2.664 -1.538 1.124
2.664 1.538 9.327
2.664 -1.538 4.101

***

No. 6
PaIN GGA-PBE relaxed; total moment = 0.0 μB per formula unit; raw total energy = -7.977 eV per atom; SG = P-1
1.0
-3.695 -1.223 0.704
3.069 -2.099 1.351
0.565 7.324 9.240
N Pa I
2 2 2
Cartesian
-0.448 3.350 5.797
0.387 0.652 5.498
0.360 1.811 7.363
-0.420 2.191 3.932
-1.831 -0.545 2.889
1.771 4.547 8.406

***

No. 7
Pr4InOs GGA-PBE relaxed; total moment = 0.0 μB per formula unit; raw total energy = -5.734 eV per atom; SG = C2/c
1.0
-3.770 7.221 1.104
-0.833 -3.039 -7.593
-3.974 -3.796 3.136
Pr Os In
8 2 2
Cartesian
-1.524 -0.037 -2.116
-2.043 -1.030 -6.679
-2.605 -3.469 -3.991
-6.534 1.416 3.327
-7.053 0.423 -1.237
-3.954 -0.386 0.765
-5.972 3.855 0.638
-4.623 0.773 -4.117
-0.994 -0.949 0.784
-2.981 -2.847 2.352
-4.921 -2.017 -1.962
-3.656 2.404 -1.391

***

No. 8
Zr3Pt GGA-PBE relaxed; energy relative to the elements = -407.3 meV/atom; total moment = 0.0 μB per formula unit; SG = P6_3/mmc
1.0
5.259 -3.036 0.000
0.000 6.072 0.000
0.000 0.000 5.105
Zr Pt
6 2
Cartesian
2.595 4.495 0.000
4.417 1.578 2.553
0.069 3.036 0.000
1.684 0.000 2.553
2.595 1.578 0.000
4.417 -1.578 2.553
0.000 0.000 0.000
1.753 3.036 2.553